Model a:
# SiSn2Se

A relaxed structure of SiSn2Se (PBE-GGA, the Alexandria database).

The structure belongs to space group I-42d (No. 122); the cell edges are 6.235, 6.235 and 13.318 Å and the angles 90.00°, 90.00° and 90.00°. The distinct sites, in fractional coordinates, are Si at (0.000, 0.000, 0.000), Sn at (0.225, 0.250, 0.125) and Se at (0.000, 0.000, 0.500).

The value obtained for the total moment is 0.00 μB per atom. The value obtained for the density of states at the Fermi level is 12.59 states/eV/cell.

=====

Model b:
# SiSn2Se

A relaxed structure of SiSn2Se (PBE-GGA, the Alexandria database).

The structure belongs to space group Fm-3m (No. 225); the cell edges are 7.144, 7.144 and 7.144 Å and the angles 90.00°, 90.00° and 90.00°. The distinct sites, in fractional coordinates, are Si at (0.000, 0.000, 0.000), Sn at (0.250, 0.250, 0.250) and Se at (0.000, 0.000, 0.500).

The value obtained for the total moment is 0.00 μB per atom. The value obtained for the density of states at the Fermi level is 9.35 states/eV/cell.

=====

Pick model a: it beats the second-best structure by 73 meV/atom.

=====

Model a:
# SrSiSe

A relaxed structure of SrSiSe (PBE-GGA, the Alexandria database).

The structure belongs to space group P3m1 (No. 156); the cell edges are 4.5733, 4.5733 and 4.3445 Å and the angles 90.00°, 90.00° and 120.00°. The distinct sites, in fractional coordinates, are Sr at (0.0000, 0.0000, 0.0000), Si at (0.6667, 0.3333, 0.5368) and Se at (0.3333, 0.6667, 0.4565).

The value obtained for the total moment is 0.00 μB per atom. The value obtained for the density of states at the Fermi level is 1.44 states/eV/cell.

=====

Model b:
# SrSiSe

A relaxed structure of SrSiSe (PBE-GGA, the Alexandria database).

The structure belongs to space group F-43m (No. 216); the cell edges are 7.039, 7.039 and 7.039 Å and the angles 90.00°, 90.00° and 90.00°. The distinct sites, in fractional coordinates, are Sr at (0.000, 0.000, 0.000), Si at (0.000, 0.000, 0.500) and Se at (0.250, 0.250, 0.750).

The value obtained for the total moment is 0.00 μB per atom. The value obtained for the density of states at the Fermi level is 8.47 states/eV/cell.

=====

Model c:
# SrSiSe

A relaxed structure of SrSiSe (PBE-GGA, the Alexandria database).

The structure belongs to space group I4mm (No. 107); the cell edges are 4.249, 4.249 and 9.856 Å and the angles 90.00°, 90.00° and 90.00°. The distinct sites, in fractional coordinates, are Sr at (0.000, 0.000, 0.000), Si at (0.000, 0.000, 0.656) and Se at (0.000, 0.000, 0.418).

The value obtained for the total moment is 0.00 μB per atom. The value obtained for the density of states at the Fermi level is 3.25 states/eV/cell.

=====

Model d:
# SrSiSe

A relaxed structure of SrSiSe (PBE-GGA, the Alexandria database).

The structure belongs to space group F-43m (No. 216); the cell edges are 7.047, 7.047 and 7.047 Å and the angles 90.00°, 90.00° and 90.00°. The distinct sites, in fractional coordinates, are Sr at (0.000, 0.000, 0.000), Si at (0.250, 0.250, 0.250) and Se at (0.000, 0.000, 0.500).

The value obtained for the total moment is 0.00 μB per atom. The value obtained for the density of states at the Fermi level is 12.49 states/eV/cell.

=====

Pick model c: it beats the second-best structure by 15 meV/atom.

=====

Model a:
# SrSiSe

A relaxed structure of SrSiSe (PBE-GGA, the Alexandria database).

The structure belongs to space group F-43m (No. 216); the cell edges are 7.183, 7.183 and 7.183 Å and the angles 90.00°, 90.00° and 90.00°. The distinct sites, in fractional coordinates, are Sr at (0.000, 0.000, 0.000), Si at (0.250, 0.250, 0.250) and Se at (0.250, 0.250, 0.750).

The value obtained for the total moment is 0.00 μB per atom. The value obtained for the density of states at the Fermi level is 9.44 states/eV/cell.

=====

Model b:
# SrSiSe

A relaxed structure of SrSiSe (PBE-GGA, the Alexandria database).

The structure belongs to space group Fmm2 (No. 42); the cell edges are 5.399, 5.406 and 10.586 Å and the angles 90.00°, 90.00° and 90.00°. The distinct sites, in fractional coordinates, are Sr at (0.000, 0.000, 0.000), Si at (0.000, 0.000, 0.285) and Se at (0.000, 0.000, 0.711).

The value obtained for the total moment is 0.00 μB per atom. The value obtained for the density of states at the Fermi level is 3.49 states/eV/cell.

=====

Pick model b: it beats the second-best structure by 375 meV/atom.

=====

Model a:
# TaSi3Se

A relaxed structure of TaSi3Se (PBE-GGA, the Alexandria database).

The structure belongs to space group Pm-3m (No. 221); the cell edges are 4.628, 4.628 and 4.628 Å and the angles 90.00°, 90.00° and 90.00°. The distinct sites, in fractional coordinates, are Ta at (0.000, 0.000, 0.000), Si at (0.000, 0.500, 0.500) and Se at (0.500, 0.500, 0.500).

The value obtained for the total moment is 0.00 μB per atom. The value obtained for the density of states at the Fermi level is 5.77 states/eV/cell.

=====

Model b:
# TaSi3Se

A relaxed structure of TaSi3Se (PBE-GGA, the Alexandria database).

The structure belongs to space group Pm-3m (No. 221); the cell edges are 4.938, 4.938 and 4.938 Å and the angles 90.00°, 90.00° and 90.00°. The distinct sites, in fractional coordinates, are Ta at (0.000, 0.000, 0.000), Si at (0.000, 0.000, 0.500) and Se at (0.500, 0.500, 0.500).

The value obtained for the total moment is 0.00 μB per atom. The value obtained for the density of states at the Fermi level is 5.93 states/eV/cell.

=====

Pick model b: it beats the second-best structure by 510 meV/atom.

=====

Model a:
# Ta2SiSe

A relaxed structure of Ta2SiSe (PBE-GGA, the Alexandria database).

The structure belongs to space group Cm (No. 8); the cell edges are 9.254, 3.245 and 4.580 Å and the angles 90.00°, 103.73° and 90.00°. The distinct sites, in fractional coordinates, are Ta at (0.000, 0.000, 0.000), Ta at (0.223, 0.000, 0.620), Si at (0.495, 0.000, 0.506) and Se at (0.235, 0.500, 0.128).

The value obtained for the total moment is 0.00 μB per atom. The value obtained for the density of states at the Fermi level is 2.90 states/eV/cell.

=====

Model b:
# Ta2SiSe

A relaxed structure of Ta2SiSe (PBE-GGA, the Alexandria database).

The structure belongs to space group Pmmm (No. 47); the cell edges are 3.379, 4.012 and 5.021 Å and the angles 90.00°, 90.00° and 90.00°. The distinct sites, in fractional coordinates, are Ta at (0.000, 0.000, 0.000), Ta at (0.500, 0.000, 0.500), Si at (0.000, 0.500, 0.500) and Se at (0.500, 0.500, 0.000).

The value obtained for the total moment is 0.00 μB per atom. The value obtained for the density of states at the Fermi level is 2.17 states/eV/cell.

=====

Model c:
# Ta2SiSe

A relaxed structure of Ta2SiSe (PBE-GGA, the Alexandria database).

The structure belongs to space group Fm-3m (No. 225); the cell edges are 6.399, 6.399 and 6.399 Å and the angles 90.00°, 90.00° and 90.00°. The distinct sites, in fractional coordinates, are Ta at (0.250, 0.250, 0.250), Si at (0.000, 0.000, 0.000) and Se at (0.000, 0.000, 0.500).

The value obtained for the total moment is 0.00 μB per atom. The value obtained for the density of states at the Fermi level is 4.43 states/eV/cell.

=====

Model d:
# Ta2SiSe

A relaxed structure of Ta2SiSe (PBE-GGA, the Alexandria database).

The structure belongs to space group Cmm2 (No. 35); the cell edges are 3.539, 4.730 and 9.179 Å and the angles 90.00°, 90.00° and 90.00°. The distinct sites, in fractional coordinates, are Ta at (0.000, 0.000, 0.000), Ta at (0.000, 0.500, 0.244), Si at (0.000, 0.500, 0.790) and Se at (0.000, 0.000, 0.453).

The value obtained for the total moment is 0.00 μB per atom. The value obtained for the density of states at the Fermi level is 5.05 states/eV/cell.

=====

Pick model a: it beats the second-best structure by 80 meV/atom.

=====

Model a:
# Ta2SiSe

A relaxed structure of Ta2SiSe (PBE-GGA, the Alexandria database).

The structure belongs to space group Imm2 (No. 44); the cell edges are 3.253, 4.538 and 9.352 Å and the angles 90.00°, 90.00° and 90.00°. The distinct sites, in fractional coordinates, are Ta at (0.000, 0.000, 0.000), Ta at (0.000, 0.500, 0.225), Si at (0.000, 0.000, 0.506) and Se at (0.000, 0.500, 0.721).

The value obtained for the total moment is 0.00 μB per atom. The value obtained for the density of states at the Fermi level is 4.53 states/eV/cell.

=====

Model b:
# Ta2SiSe

A relaxed structure of Ta2SiSe (PBE-GGA, the Alexandria database).

The structure belongs to space group P4mm (No. 99); the cell edges are 3.377, 3.377 and 5.929 Å and the angles 90.00°, 90.00° and 90.00°. The distinct sites, in fractional coordinates, are Ta at (0.000, 0.000, 0.000), Ta at (0.500, 0.500, 0.304), Si at (0.500, 0.500, 0.822) and Se at (0.000, 0.000, 0.503).

The value obtained for the total moment is 0.00 μB per atom. The value obtained for the density of states at the Fermi level is 1.39 states/eV/cell.

=====

Pick model b: it beats the second-best structure by 296 meV/atom.

=====

Model a:
# Ta2SiSe

A relaxed structure of Ta2SiSe (PBE-GGA, the Alexandria database).

The structure belongs to space group I-4m2 (No. 119); the cell edges are 3.937, 3.937 and 8.722 Å and the angles 90.00°, 90.00° and 90.00°. The distinct sites, in fractional coordinates, are Ta at (0.000, 0.000, 0.000), Ta at (0.000, 0.500, 0.250), Si at (0.000, 0.000, 0.500) and Se at (0.000, 0.500, 0.750).

The value obtained for the total moment is 0.00 μB per atom. The value obtained for the density of states at the Fermi level is 6.97 states/eV/cell.

=====

Model b:
# Ta2SiSe

A relaxed structure of Ta2SiSe (PBE-GGA, the Alexandria database).

The structure belongs to space group P4/mmm (No. 123); the cell edges are 3.186, 3.186 and 6.478 Å and the angles 90.00°, 90.00° and 90.00°. The distinct sites, in fractional coordinates, are Ta at (0.000, 0.000, 0.232), Si at (0.500, 0.500, 0.000) and Se at (0.500, 0.500, 0.500).

The value obtained for the total moment is 0.00 μB per atom. The value obtained for the density of states at the Fermi level is 1.21 states/eV/cell.

=====

Model c:
# Ta2SiSe

A relaxed structure of Ta2SiSe (PBE-GGA, the Alexandria database).

The structure belongs to space group F-43m (No. 216); the cell edges are 6.485, 6.485 and 6.485 Å and the angles 90.00°, 90.00° and 90.00°. The distinct sites, in fractional coordinates, are Ta at (0.000, 0.000, 0.000), Ta at (0.250, 0.250, 0.250), Si at (0.000, 0.000, 0.500) and Se at (0.250, 0.250, 0.750).

The value obtained for the total moment is 0.00 μB per atom. The value obtained for the density of states at the Fermi level is 1.94 states/eV/cell.

=====

Model d:
# Ta2SiSe

A relaxed structure of Ta2SiSe (PBE-GGA, the Alexandria database).

The structure belongs to space group R-3m (No. 166, hexagonal axes); the cell edges are 3.0659, 3.0659 and 24.9103 Å and the angles 90.00°, 90.00° and 120.00°. The distinct sites, in fractional coordinates, are Ta at (0.0000, 0.0000, 0.2484), Si at (0.0000, 0.0000, 0.0000) and Se at (0.0000, 0.0000, 0.5000).

The value obtained for the total moment is 0.00 μB per atom. The value obtained for the density of states at the Fermi level is 11.66 states/eV/cell.

=====

Pick model b: it beats the second-best structure by 210 meV/atom.

=====

Model a:
# Ta2SiSe

A relaxed structure of Ta2SiSe (PBE-GGA, the Alexandria database).

The structure belongs to space group R3m (No. 160, hexagonal axes); the cell edges are 3.1881, 3.1881 and 24.9193 Å and the angles 90.00°, 90.00° and 120.00°. The distinct sites, in fractional coordinates, are Ta at (0.0000, 0.0000, 0.0000), Ta at (0.0000, 0.0000, 0.2434), Si at (0.0000, 0.0000, 0.4993) and Se at (0.0000, 0.0000, 0.7400).

The value obtained for the total moment is 0.00 μB per atom. The value obtained for the density of states at the Fermi level is 9.83 states/eV/cell.

=====

Model b:
# Ta2SiSe

A relaxed structure of Ta2SiSe (PBE-GGA, the Alexandria database).

The structure belongs to space group Pm (No. 6); the cell edges are 3.028, 4.846 and 4.899 Å and the angles 90.00°, 103.84° and 90.00°. The distinct sites, in fractional coordinates, are Ta at (0.000, 0.000, 0.000), Ta at (0.306, 0.500, 0.694), Si at (0.659, 0.000, 0.481) and Se at (0.982, 0.500, 0.146).

The value obtained for the total moment is 0.00 μB per atom. The value obtained for the density of states at the Fermi level is 2.06 states/eV/cell.

=====

Pick model b: it beats the second-best structure by 61 meV/atom.